A plane-wave DFT calculation with PBE-GGA was carried out for crystalline PtBr3Cl at its relaxed geometry.

a b c (Å): 5.1241 5.1241 5.1241
angles (deg): 90.00 90.00 90.00
Sites, in units of the cell vectors:
Pt1 0.0000 0.0000 0.0000
Br1 0.0000 0.0000 0.5000
Br2 0.0000 0.5000 0.0000
Br3 0.5000 0.0000 0.0000
Cl1 0.5000 0.5000 0.5000

Results
- crystal system = cubic
- formation energy (no corrections) (eV/atom) = 0.26
- E above lowest polymorph (eV per formula unit) = 2.60
- total moment (μB/atom) = 0.181

A plane-wave DFT calculation with PBE-GGA was carried out for crystalline PtBrCl3 at its relaxed geometry.

a b c (Å): 8.0970 8.0970 6.1715
angles (deg): 96.35 96.35 128.24
Sites, in units of the cell vectors:
Pt1 0.0604 0.9396 0.5000
Pt2 0.9396 0.0604 0.0000
Br1 0.6072 0.9662 0.0890
Br2 0.9662 0.6072 0.5890
Cl1 0.0304 0.3722 0.9103
Cl2 0.1323 0.2514 0.3719
Cl3 0.2514 0.1323 0.8719
Cl4 0.3722 0.0304 0.4103
Cl5 0.7520 0.8661 0.6270
Cl6 0.8661 0.7520 0.1270

Results
- crystal system = monoclinic
- formation energy (no corrections) (eV/atom) = -0.34
- E above lowest polymorph (eV per formula unit) = 0.00
- total moment (μB/atom) = 0.000

A plane-wave DFT calculation with PBE-GGA was carried out for crystalline Pt2BrCl at its relaxed geometry.

a b c (Å): 4.6458 4.6458 4.6458
angles (deg): 107.34 107.34 113.82
Sites, in units of the cell vectors:
Pt1 0.0000 0.0000 0.0000
Pt2 0.7500 0.2500 0.5000
Br1 0.5000 0.5000 0.0000
Cl1 0.2500 0.7500 0.5000

Results
- crystal system = tetragonal
- formation energy (no corrections) (eV/atom) = 0.71
- E above lowest polymorph (eV per formula unit) = 3.70
- total moment (μB/atom) = 0.002

A plane-wave DFT calculation with PBE-GGA was carried out for crystalline Pt2BrCl at its relaxed geometry.

a b c (Å): 3.3277 3.3277 8.5862
angles (deg): 90.00 90.00 110.60
Sites, in units of the cell vectors:
Pt1 0.0000 0.0000 0.0000
Pt2 0.5000 0.5000 0.1981
Br1 0.0000 0.0000 0.4046
Cl1 0.5000 0.5000 0.8121

Results
- crystal system = orthorhombic
- formation energy (no corrections) (eV/atom) = 0.25
- E above lowest polymorph (eV per formula unit) = 1.86
- total moment (μB/atom) = 0.168

A plane-wave DFT calculation with PBE-GGA was carried out for crystalline Pt2BrCl at its relaxed geometry.

a b c (Å): 8.0342 8.0342 8.0342
angles (deg): 26.63 26.63 26.63
Sites, in units of the cell vectors:
Pt1 0.0000 0.0000 0.0000
Pt2 0.2699 0.2699 0.2699
Br1 0.7294 0.7294 0.7294
Cl1 0.5466 0.5466 0.5466

Results
- crystal system = trigonal
- formation energy (no corrections) (eV/atom) = -0.22
- E above lowest polymorph (eV per formula unit) = 0.00
- total moment (μB/atom) = 0.000

A plane-wave DFT calculation with PBE-GGA was carried out for crystalline Pt2BrCl at its relaxed geometry.

a b c (Å): 3.1956 3.1956 8.3119
angles (deg): 90.00 90.00 90.00
Sites, in units of the cell vectors:
Pt1 0.0000 0.0000 0.0000
Pt2 0.5000 0.5000 0.1872
Br1 0.0000 0.0000 0.3989
Cl1 0.5000 0.5000 0.8052

Results
- crystal system = tetragonal
- formation energy (no corrections) (eV/atom) = 0.39
- E above lowest polymorph (eV per formula unit) = 2.41
- total moment (μB/atom) = 0.382